Pm2ThIn2Ag2 after structural relaxation, computed with PBE.

Lattice parameters (Å, degrees): 4.8994 4.8994 27.4780 90.00 90.00 120.00
Space group R-3m (No. 166, hexagonal axes)
Unique sites:
Pm1 0.0000 0.0000 0.1267
Th1 0.0000 0.0000 0.0000
In1 0.0000 0.0000 0.2624
Ag1 0.0000 0.0000 0.3970

Energy relative to the elements ... -232 meV/atom
Mass density ... 8.44 g/cm3